Entry 1:
Li2Hf2Pd | SCAN | PBEsol geometry

Summary:
For the electronic total energy, the calculation gives -32.1410 eV/atom. The crystal system is tetragonal. As for the symmetry: P4/mbm, No. 127.

Lattice parameters (Å, degrees): 3.208 7.331 7.331 90.00 90.00 90.00
Fractional coordinates of all 10 atoms:
Hf 0.000 0.347 0.847
Hf 0.000 0.847 0.653
Hf 0.000 0.653 0.153
Hf 0.000 0.153 0.347
Pd 0.000 0.000 0.000
Pd 0.000 0.500 0.500
Li 0.500 0.149 0.649
Li 0.500 0.649 0.851
Li 0.500 0.851 0.351
Li 0.500 0.351 0.149



Entry 2:
AlTc3Ag | SCAN | PBEsol geometry

Summary:
For the electronic total energy, the calculation gives -26.4863 eV/atom. The crystal system is cubic. As for the symmetry: Pm-3m, No. 221.

Lattice parameters (Å, degrees): 4.689 4.689 4.689 90.00 90.00 90.00
Fractional coordinates of all 5 atoms:
Tc 0.000 0.500 0.000
Tc 0.000 0.000 0.500
Tc 0.500 0.000 0.000
Ag 0.000 0.000 0.000
Al 0.500 0.500 0.500



Entry 3:
LaFeSe2 | SCAN | PBEsol geometry

Summary:
For the electronic total energy, the calculation gives -26.3656 eV/atom. The value obtained for the raw formation energy is -98.20 kJ/mol of atoms. The crystal system is orthorhombic. The excess energy over the best structure of this formula in the dataset comes out at 205 meV/atom. As for the symmetry: Immm, No. 71.

Lattice parameters (Å, degrees): 3.773 5.096 5.096 67.14 68.27 68.27
Fractional coordinates of all 4 atoms:
Fe 0.500 0.000 0.000
La 0.000 0.500 0.500
Se 0.187 0.813 0.813
Se 0.813 0.187 0.187



Entry 4:
Ca2SbAs | SCAN | PBEsol geometry

Summary:
For the electronic total energy, the calculation gives -20.0745 eV/atom. The value obtained for the raw formation energy is -84.90 kJ/mol of atoms. The crystal system is orthorhombic. As for the symmetry: Pmmm, No. 47.

Lattice parameters (Å, degrees): 3.384 5.161 6.193 90.00 90.00 90.00
Fractional coordinates of all 4 atoms:
Sb 0.000 0.000 0.375
As 0.500 0.500 0.875
Ca 0.000 0.000 0.875
Ca 0.500 0.500 0.375



Entry 5:
Li2TcPb | SCAN | PBEsol geometry

Summary:
For the electronic total energy, the calculation gives -28.4344 eV/atom. The crystal system is tetragonal. As for the symmetry: I-42d, No. 122.

Lattice parameters (Å, degrees): 5.348 5.715 5.715 77.36 62.10 62.10
Fractional coordinates of all 8 atoms:
Pb 0.000 0.000 0.000
Pb 0.750 0.500 0.500
Tc 0.500 0.000 0.000
Tc 0.250 0.500 0.500
Li 0.875 0.989 0.511
Li 0.375 0.011 0.489
Li 0.614 0.511 0.011
Li 0.136 0.489 0.989



Entry 6:
Ca2CrPb | SCAN | PBEsol geometry

Summary:
For the electronic total energy, the calculation gives -28.5682 eV/atom. The crystal system is tetragonal. As for the symmetry: P4/mmm, No. 123.

Lattice parameters (Å, degrees): 3.827 3.827 7.455 90.00 90.00 90.00
Fractional coordinates of all 4 atoms:
Pb 0.500 0.500 0.500
Cr 0.500 0.500 0.000
Ca 0.000 0.000 0.756
Ca 0.000 0.000 0.244



Which value of electronic total energy does entry 1 give? -32.1410 eV/atom